1.
Here is YHoZn2 at its PBEsol-relaxed geometry from Alexandria. Energies are from SCAN.

Structure (CIF):
```
data_YHoZn2
_symmetry_space_group_name_H-M 'F m -3 m'
_symmetry_Int_Tables_number 225
_symmetry_space_group_name_Hall '-F 4 2 3'
_cell_length_a 7.006
_cell_length_b 7.006
_cell_length_c 7.006
_cell_angle_alpha 90.00
_cell_angle_beta 90.00
_cell_angle_gamma 90.00
loop_
_atom_site_label
_atom_site_type_symbol
_atom_site_fract_x
_atom_site_fract_y
_atom_site_fract_z
Y1 Y 0.000 0.000 0.000
Ho1 Ho 0.000 0.000 0.500
Zn1 Zn 0.250 0.250 0.250
```

Properties
The value obtained for the energy of formation is -0.440 eV per atom. Its crystal system is cubic. The total energy is -26.405 eV per atom.

2.
Here is HoZn at its PBEsol-relaxed geometry from Alexandria. Energies are from SCAN.

Structure (CIF):
```
data_HoZn
_symmetry_space_group_name_H-M 'P m -3 m'
_symmetry_Int_Tables_number 221
_symmetry_space_group_name_Hall '-P 4 2 3'
_cell_length_a 3.485
_cell_length_b 3.485
_cell_length_c 3.485
_cell_angle_alpha 90.00
_cell_angle_beta 90.00
_cell_angle_gamma 90.00
loop_
_atom_site_label
_atom_site_type_symbol
_atom_site_fract_x
_atom_site_fract_y
_atom_site_fract_z
Ho1 Ho 0.000 0.000 0.000
Zn1 Zn 0.500 0.500 0.500
```

Properties
The value obtained for the energy of formation is -0.425 eV per atom. Its crystal system is cubic. The total energy is -31.676 eV per atom.

3.
Here is HoZn2 at its PBEsol-relaxed geometry from Alexandria. Energies are from SCAN.

Structure (CIF):
```
data_HoZn2
_symmetry_space_group_name_H-M 'I m m a'
_symmetry_Int_Tables_number 74
_symmetry_space_group_name_Hall '-I 2b 2'
_cell_length_a 4.393
_cell_length_b 6.925
_cell_length_c 7.393
_cell_angle_alpha 90.00
_cell_angle_beta 90.00
_cell_angle_gamma 90.00
loop_
_atom_site_label
_atom_site_type_symbol
_atom_site_fract_x
_atom_site_fract_y
_atom_site_fract_z
Ho1 Ho 0.000 0.250 0.033
Zn1 Zn 0.000 0.047 0.666
```

Properties
The value obtained for the energy of formation is -0.488 eV per atom. Its crystal system is orthorhombic. The total energy is -25.827 eV per atom.

4.
Here is Ho6Zn23 at its PBEsol-relaxed geometry from Alexandria. Energies are from SCAN.

Structure (CIF):
```
data_Ho6Zn23
_symmetry_space_group_name_H-M 'F m -3 m'
_symmetry_Int_Tables_number 225
_symmetry_space_group_name_Hall '-F 4 2 3'
_cell_length_a 12.412
_cell_length_b 12.412
_cell_length_c 12.412
_cell_angle_alpha 90.00
_cell_angle_beta 90.00
_cell_angle_gamma 90.00
loop_
_atom_site_label
_atom_site_type_symbol
_atom_site_fract_x
_atom_site_fract_y
_atom_site_fract_z
Ho1 Ho 0.000 0.000 0.207
Zn1 Zn 0.000 0.000 0.500
Zn2 Zn 0.000 0.250 0.250
Zn3 Zn 0.123 0.123 0.377
Zn4 Zn 0.172 0.172 0.172
```

Properties
The value obtained for the energy of formation is -0.376 eV per atom. Its crystal system is cubic. The total energy is -21.231 eV per atom.

5.
Here is In3IrI at its PBEsol-relaxed geometry from Alexandria. Energies are from SCAN.

Structure (CIF):
```
data_In3IrI
_symmetry_space_group_name_H-M 'P m -3 m'
_symmetry_Int_Tables_number 221
_symmetry_space_group_name_Hall '-P 4 2 3'
_cell_length_a 5.187
_cell_length_b 5.187
_cell_length_c 5.187
_cell_angle_alpha 90.00
_cell_angle_beta 90.00
_cell_angle_gamma 90.00
loop_
_atom_site_label
_atom_site_type_symbol
_atom_site_fract_x
_atom_site_fract_y
_atom_site_fract_z
In1 In 0.000 0.000 0.500
Ir1 Ir 0.000 0.000 0.000
I1 I 0.500 0.500 0.500
```

Properties
Its crystal system is cubic. The total energy is -41.968 eV per atom. The calculation puts the raw formation energy at -35.5 kJ per mole of atoms.

6.
Here is InIrIN2 at its PBEsol-relaxed geometry from Alexandria. Energies are from SCAN.

Structure (CIF):
```
data_InIrIN2
_symmetry_space_group_name_H-M 'P 4/m m m'
_symmetry_Int_Tables_number 123
_symmetry_space_group_name_Hall '-P 4 2'
_cell_length_a 3.909
_cell_length_b 3.909
_cell_length_c 7.060
_cell_angle_alpha 90.00
_cell_angle_beta 90.00
_cell_angle_gamma 90.00
loop_
_atom_site_label
_atom_site_type_symbol
_atom_site_fract_x
_atom_site_fract_y
_atom_site_fract_z
In1 In 0.000 0.000 0.000
Ir1 Ir 0.500 0.500 0.500
I1 I 0.500 0.500 0.000
N1 N 0.000 0.500 0.500
```

Properties
Its crystal system is tetragonal. The total energy is -30.880 eV per atom. The calculation puts the raw formation energy at 104.4 kJ per mole of atoms.

7.
Here is InTeIrI2 at its PBEsol-relaxed geometry from Alexandria. Energies are from SCAN.

Structure (CIF):
```
data_InTeIrI2
_symmetry_space_group_name_H-M 'P 4/m m m'
_symmetry_Int_Tables_number 123
_symmetry_space_group_name_Hall '-P 4 2'
_cell_length_a 5.603
_cell_length_b 5.603
_cell_length_c 5.124
_cell_angle_alpha 90.00
_cell_angle_beta 90.00
_cell_angle_gamma 90.00
loop_
_atom_site_label
_atom_site_type_symbol
_atom_site_fract_x
_atom_site_fract_y
_atom_site_fract_z
In1 In 0.000 0.000 0.000
Te1 Te 0.500 0.500 0.500
Ir1 Ir 0.000 0.000 0.500
I1 I 0.000 0.500 0.000
```

Properties
Its crystal system is tetragonal. The total energy is -41.884 eV per atom. The calculation puts the raw formation energy at 111.9 kJ per mole of atoms.

8.
Here is KInI2 at its PBEsol-relaxed geometry from Alexandria. Energies are from SCAN.

Structure (CIF):
```
data_KInI2
_symmetry_space_group_name_H-M 'F m -3 m'
_symmetry_Int_Tables_number 225
_symmetry_space_group_name_Hall '-F 4 2 3'
_cell_length_a 8.293
_cell_length_b 8.293
_cell_length_c 8.293
_cell_angle_alpha 90.00
_cell_angle_beta 90.00
_cell_angle_gamma 90.00
loop_
_atom_site_label
_atom_site_type_symbol
_atom_site_fract_x
_atom_site_fract_y
_atom_site_fract_z
K1 K 0.000 0.000 0.000
In1 In 0.000 0.000 0.500
I1 I 0.250 0.250 0.250
```

Properties
Its crystal system is cubic. The calculation puts the energy above the lowest structure with this stoichiometry at 0.000 eV/f.u. The total energy is -29.789 eV per atom. The calculation puts the raw formation energy at -95.5 kJ per mole of atoms.